{
  "formula": "K2SiSb",
  "functional": "PBEsol",
  "state": "relaxed",
  "lattice_angstrom": [[5.623, -1.580, 0.000], [5.623, 1.580, 0.000], [-0.671, 0.000, 6.468]],
  "species": ["K", "K", "Si", "Sb"],
  "fractional_positions": [[0.250, 0.250, 0.246], [0.750, 0.750, 0.754], [0.500, 0.500, 0.000], [0.000, 0.000, 0.500]],
  "dos_ef_per_ev_cell": 2.282,
  "total_magnetization_mub_per_cell": 0.00,
  "density_g_cm3": 3.3,
  "de_polymorph_mev_per_atom": 444.8
}

=====

{
  "formula": "KSi3Sb",
  "functional": "PBEsol",
  "state": "relaxed",
  "lattice_angstrom": [[5.191, 0.000, 0.000], [0.000, 5.191, 0.000], [0.000, 0.000, 5.191]],
  "species": ["K", "Si", "Si", "Si", "Sb"],
  "fractional_positions": [[0.000, 0.000, 0.000], [0.000, 0.000, 0.500], [0.000, 0.500, 0.000], [0.500, 0.000, 0.000], [0.500, 0.500, 0.500]],
  "dos_ef_per_ev_cell": 3.970,
  "total_magnetization_mub_per_cell": 0.00,
  "density_g_cm3": 2.9
}

=====

no.,V (Å³/f.u.),uncorrected formation energy (eV/atom)
1,114.9,0.283
2,139.9,1.981